1.
Sr2TeIBr: optimized geometry, PBE.

Cell: 9.4610 9.4610 10.6474 Å, 104.87 104.87 28.63°
Last column: nearest neighbours and their distance in Å.
Element x y z (fractional)
Sr  0.1582  0.1582  0.3358  3 Te 3.27-3.34, 1 Br 3.28, 2 I 3.31
Sr  0.3403  0.3403  0.1673  3 Br 3.13-3.21, 1 I 3.28, 2 Te 3.30
Sr  0.6597  0.6597  0.8327  3 Br 3.13-3.21, 1 I 3.28, 2 Te 3.30
Sr  0.8418  0.8418  0.6642  3 Te 3.27-3.34, 1 Br 3.28, 2 I 3.31
Te  0.2100  0.2100  0.6542  5 Sr 3.27-3.34
Te  0.7900  0.7900  0.3458  5 Sr 3.27-3.34
I  0.4744  0.4744  0.7268  3 Sr 3.28-3.31
I  0.5256  0.5256  0.2732  3 Sr 3.28-3.31
Br  0.1618  0.1618  0.0296  4 Sr 3.13-3.28
Br  0.8382  0.8382  0.9704  4 Sr 3.13-3.28

Output
total energy = -3.744 eV/atom
D(E_F) = 0.0 states/eV per cell


2.
Tl2Cd4Hg3Bi: optimized geometry, PBE.

Cell: 4.9871 4.9871 12.0114 Å, 90.00 90.00 90.00°
Last column: nearest neighbours and their distance in Å.
Element x y z (fractional)
Tl  0.0000  0.5000  0.2442  8 Cd 3.75-3.96, 6 Hg 3.84-3.85, 2 Bi 3.85
Tl  0.5000  0.0000  0.7558  8 Cd 3.75-3.96, 6 Hg 3.84-3.85, 2 Bi 3.85
Cd  0.0000  0.0000  0.5000  4 Hg 2.94
Cd  0.0000  0.5000  0.8610  3 Hg 2.78-3.00, 2 Bi 3.00
Cd  0.5000  0.0000  0.1390  3 Hg 2.78-3.00, 2 Bi 3.00
Cd  0.5000  0.5000  0.5000  4 Hg 2.94
Hg  0.0000  0.0000  0.0000  4 Cd 3.00
Hg  0.0000  0.5000  0.6297  5 Cd 2.78-2.94
Hg  0.5000  0.0000  0.3703  5 Cd 2.78-2.94
Bi  0.5000  0.5000  0.0000  4 Cd 3.00

Output
total energy = -1.269 eV/atom
ΔH_f (0 K) = 0.5 eV per formula unit
D(E_F) = 3.8 states/eV per cell